No. 1
Material: Ca2CoAuN
Method: DFT, GGA-PBE
State: optimized geometry

a b c (Å): 5.069 5.069 3.551
angles (deg): 90.00 90.00 90.00
Space group P4/mmm (No. 123)
One atom of each set of equivalent atoms:
1 Ca 0.000 0.500 0.000
2 Co 0.000 0.000 0.500
3 Au 0.500 0.500 0.500
4 N 0.000 0.000 0.000

Values from the calculation:
Uncorrected formation energy, kJ/mol of formula units: -332.7
DFT total energy, eV per cell: -26.16
Polymorph energy (0 for the lowest one), meV/atom: 0.0

No. 2
Material: LaCd2Pt
Method: DFT, GGA-PBE
State: optimized geometry

a b c (Å): 4.158 3.966 6.494
angles (deg): 90.00 108.53 90.00
Space group Pm (No. 6)
One atom of each set of equivalent atoms:
1 La 0.000 0.000 0.000
2 Cd 0.275 0.000 0.551
3 Cd 0.682 0.500 0.364
4 Pt 0.447 0.500 0.893

Values from the calculation:
DFT formation energy, meV per atom: -571
DFT total energy, eV per cell: -15.08

No. 3
Material: Tc2MoOs
Method: DFT, GGA-PBE
State: optimized geometry

a b c (Å): 9.159 2.768 4.778
angles (deg): 90.00 99.96 90.00
Space group C2/m (No. 12)
One atom of each set of equivalent atoms:
1 Tc 0.243 0.000 0.236
2 Mo 0.000 0.000 0.500
3 Os 0.000 0.500 0.000

Values from the calculation:
DFT formation energy, meV per atom: 76
DFT total energy, eV per cell: -84.98
Polymorph energy (0 for the lowest one), meV/atom: 11.1

No. 4
Material: LiBiN3
Method: DFT, GGA-PBE
State: optimized geometry

a b c (Å): 3.834 3.834 3.834
angles (deg): 90.00 90.00 90.00
Space group Pm-3m (No. 221)
One atom of each set of equivalent atoms:
1 Li 0.000 0.000 0.000
2 Bi 0.500 0.500 0.500
3 N 0.000 0.000 0.500

Values from the calculation:
Uncorrected formation energy, kJ/mol of formula units: 837.9
DFT total energy, eV per cell: -22.09

No. 5
Material: TcRuCl2
Method: DFT, GGA-PBE
State: optimized geometry

a b c (Å): 2.875 5.361 8.425
angles (deg): 90.00 90.00 90.00
Space group Cmmm (No. 65)
One atom of each set of equivalent atoms:
1 Tc 0.000 0.000 0.000
2 Ru 0.000 0.000 0.500
3 Cl 0.000 0.500 0.235

Values from the calculation:
Uncorrected formation energy, kJ/mol of formula units: 284.7
DFT total energy, eV per cell: -40.77
Polymorph energy (0 for the lowest one), meV/atom: 802.6

No. 6
Material: Li3CaCo
Method: DFT, GGA-PBE
State: optimized geometry

a b c (Å): 4.733 4.733 4.733
angles (deg): 90.00 90.00 90.00
Space group Pm-3m (No. 221)
One atom of each set of equivalent atoms:
1 Li 0.000 0.000 0.500
2 Ca 0.500 0.500 0.500
3 Co 0.000 0.000 0.000

Values from the calculation:
DFT formation energy, meV per atom: 385
DFT total energy, eV per cell: -12.92
Polymorph energy (0 for the lowest one), meV/atom: 0.0

No. 7
Material: LaTlBi2O4
Method: DFT, GGA-PBE
State: optimized geometry

a b c (Å): 4.163 4.163 8.942
angles (deg): 90.00 90.00 90.00
Space group P4/mmm (No. 123)
One atom of each set of equivalent atoms:
1 La 0.000 0.000 0.000
2 Tl 0.000 0.000 0.500
3 Bi 0.500 0.500 0.276
4 O 0.000 0.500 0.166

Values from the calculation:
Uncorrected formation energy, kJ/mol of formula units: -1241.4
DFT total energy, eV per cell: -47.75

No. 8
Material: Ni2TeS2
Method: DFT, GGA-PBE
State: optimized geometry

a b c (Å): 3.909 3.909 10.538
angles (deg): 90.00 90.00 90.00
Space group I4/mmm (No. 139)
One atom of each set of equivalent atoms:
1 Ni 0.000 0.000 0.130
2 Te 0.000 0.000 0.500
3 S 0.000 0.500 0.250

Values from the calculation:
Uncorrected formation energy, kJ/mol of formula units: 77.9
DFT total energy, eV per cell: -44.30

No. 9
Material: K3ZnCu
Method: DFT, GGA-PBE
State: optimized geometry

a b c (Å): 6.300 6.300 6.300
angles (deg): 90.00 90.00 90.00
Space group Pm-3m (No. 221)
One atom of each set of equivalent atoms:
1 K 0.000 0.000 0.500
2 Zn 0.500 0.500 0.500
3 Cu 0.000 0.000 0.000

Values from the calculation:
DFT formation energy, meV per atom: 377
DFT total energy, eV per cell: -6.78
Polymorph energy (0 for the lowest one), meV/atom: 0.0

No. 10
Material: Pm2SmF8
Method: DFT, GGA-PBE
State: optimized geometry

a b c (Å): 3.874 6.666 10.928
angles (deg): 90.00 90.00 90.00
Space group Immm (No. 71)
One atom of each set of equivalent atoms:
1 Pm 0.000 0.000 0.187
2 Sm 0.000 0.000 0.500
3 F 0.000 0.191 0.000
4 F 0.000 0.285 0.340
5 F 0.000 0.500 0.145

Values from the calculation:
Uncorrected formation energy, kJ/mol of formula units: -4022.1
DFT total energy, eV per cell: -141.75
Polymorph energy (0 for the lowest one), meV/atom: 77.1

No. 11
Material: ZrCr2Co2
Method: DFT, GGA-PBE
State: optimized geometry

a b c (Å): 3.693 3.693 10.129
angles (deg): 90.00 90.00 90.00
Space group I4/mmm (No. 139)
One atom of each set of equivalent atoms:
1 Zr 0.000 0.000 0.000
2 Cr 0.000 0.500 0.250
3 Co 0.000 0.000 0.390

Values from the calculation:
DFT formation energy, meV per atom: 63
DFT total energy, eV per cell: -83.38
Polymorph energy (0 for the lowest one), meV/atom: 0.0

No. 12
Material: La6Tl
Method: DFT, GGA-PBE
State: optimized geometry

a b c (Å): 8.327 8.327 8.327
angles (deg): 90.00 90.00 90.00
Space group Im-3m (No. 229)
One atom of each set of equivalent atoms:
1 La 0.000 0.250 0.500
2 Tl 0.000 0.000 0.000

Values from the calculation:
DFT formation energy, meV per atom: 989
DFT total energy, eV per cell: -50.02

No. 13
Material: Pr4Al3Si
Method: DFT, GGA-PBE
State: optimized geometry

a b c (Å): 4.157 4.550 11.593
angles (deg): 90.00 90.00 90.00
Space group Pmm2 (No. 25)
One atom of each set of equivalent atoms:
1 Pr 0.000 0.000 0.000
2 Pr 0.000 0.500 0.490
3 Pr 0.500 0.000 0.708
4 Pr 0.500 0.500 0.212
5 Al 0.000 0.500 0.783
6 Al 0.500 0.000 0.414
7 Al 0.500 0.500 0.924
8 Si 0.000 0.000 0.282

Values from the calculation:
Uncorrected formation energy, kJ/mol of formula units: -357.3
DFT total energy, eV per cell: -39.47

No. 14
Material: Li3Cd8
Method: DFT, GGA-PBE
State: optimized geometry

a b c (Å): 8.6328 8.6328 11.8042
angles (deg): 90.00 90.00 120.00
Space group R-3 (No. 148, hexagonal axes)
One atom of each set of equivalent atoms:
1 Li 0.0000 0.5000 0.0000
2 Cd 0.0000 0.0000 0.3794
3 Cd 0.0251 0.8005 0.1107

Values from the calculation:
DFT formation energy, meV per atom: 81
DFT total energy, eV per cell: -36.50
Polymorph energy (0 for the lowest one), meV/atom: 251.0

No. 15
Material: YMgRe2
Method: DFT, GGA-PBE
State: optimized geometry

a b c (Å): 4.664 4.664 6.617
angles (deg): 90.00 90.00 90.00
Space group I-4m2 (No. 119)
One atom of each set of equivalent atoms:
1 Y 0.000 0.000 0.000
2 Mg 0.000 0.500 0.750
3 Re 0.000 0.000 0.500
4 Re 0.000 0.500 0.250

Values from the calculation:
DFT formation energy, meV per atom: 320
DFT total energy, eV per cell: -63.35

No. 16
Material: Tl2CrNi
Method: DFT, GGA-PBE
State: optimized geometry

a b c (Å): 7.561 7.561 5.941
angles (deg): 90.00 90.00 90.00
Space group I-42d (No. 122)
One atom of each set of equivalent atoms:
1 Tl 0.216 0.250 0.125
2 Cr 0.000 0.000 0.500
3 Ni 0.000 0.000 0.000

Values from the calculation:
DFT formation energy, meV per atom: 651
DFT total energy, eV per cell: -70.14
Polymorph energy (0 for the lowest one), meV/atom: 230.6

No. 17
Material: SrTm3Pb2
Method: DFT, GGA-PBE
State: optimized geometry

a b c (Å): 19.059 4.958 9.791
angles (deg): 90.00 119.91 90.00
Space group C2/m (No. 12)
One atom of each set of equivalent atoms:
1 Sr 0.135 0.000 0.077
2 Tm 0.050 0.000 0.392
3 Tm 0.095 0.500 0.673
4 Tm 0.187 0.500 0.432
5 Pb 0.009 0.500 0.166
6 Pb 0.210 0.000 0.735

Values from the calculation:
DFT formation energy, meV per atom: -266
DFT total energy, eV per cell: -96.44

No. 18
Material: Pm3Pr4Tm5
Method: DFT, GGA-PBE
State: optimized geometry

a b c (Å): 6.247 7.198 8.825
angles (deg): 89.85 89.97 89.96
Space group P-1 (No. 2)
One atom of each set of equivalent atoms:
1 Pm 0.000 0.000 0.000
2 Pm 0.169 0.248 0.669
3 Pr 0.169 0.752 0.668
4 Pr 0.331 0.500 0.328
5 Tm 0.000 0.500 0.000
6 Tm 0.335 0.000 0.329
7 Tm 0.499 0.248 0.000

Values from the calculation:
DFT formation energy, meV per atom: 20
DFT total energy, eV per cell: -55.49
Polymorph energy (0 for the lowest one), meV/atom: 0.0

No. 19
Material: Er4TmIn
Method: DFT, GGA-PBE
State: optimized geometry

a b c (Å): 4.838 14.571 9.780
angles (deg): 90.00 90.00 90.00
Space group Cmc2_1 (No. 36)
One atom of each set of equivalent atoms:
1 Er 0.000 0.000 0.000
2 Er 0.000 0.172 0.250
3 Er 0.000 0.332 0.506
4 Er 0.000 0.497 0.250
5 Tm 0.000 0.333 0.995
6 In 0.000 0.165 0.750

Values from the calculation:
DFT formation energy, meV per atom: -117
DFT total energy, eV per cell: -104.65
Polymorph energy (0 for the lowest one), meV/atom: 32.3

No. 20
Material: Tb8Pd2Ru3
Method: DFT, GGA-PBE
State: optimized geometry

a b c (Å): 9.702 13.857 4.853
angles (deg): 90.00 90.00 90.00
Space group Cmmm (No. 65)
One atom of each set of equivalent atoms:
1 Tb 0.000 0.118 0.000
2 Tb 0.000 0.380 0.000
3 Tb 0.249 0.381 0.500
4 Pd 0.000 0.251 0.500
5 Ru 0.000 0.500 0.500
6 Ru 0.250 0.000 0.000

Values from the calculation:
DFT formation energy, meV per atom: -460
DFT total energy, eV per cell: -162.47

No. 21
Material: KB2P
Method: DFT, GGA-PBE
State: optimized geometry

a b c (Å): 4.483 4.483 12.463
angles (deg): 90.00 90.00 90.00
Space group I4_1/amd (No. 141, origin choice 2)
One atom of each set of equivalent atoms:
1 K 0.000 0.250 0.375
2 B 0.000 0.000 0.000
3 P 0.000 0.250 0.875

Values from the calculation:
DFT formation energy, meV per atom: 656
DFT total energy, eV per cell: -68.96

No. 22
Material: KMn3
Method: DFT, GGA-PBE
State: optimized geometry

a b c (Å): 6.172 9.084 2.864
angles (deg): 90.00 90.00 90.00
Space group Cmmm (No. 65)
One atom of each set of equivalent atoms:
1 K 0.000 0.000 0.000
2 Mn 0.000 0.500 0.000
3 Mn 0.250 0.250 0.500

Values from the calculation:
DFT formation energy, meV per atom: 1233
DFT total energy, eV per cell: -47.35
Polymorph energy (0 for the lowest one), meV/atom: 527.5

No. 23
Material: NaTl15Sb4
Method: DFT, GGA-PBE
State: optimized geometry

a b c (Å): 5.021 5.021 24.306
angles (deg): 90.00 90.00 90.00
Space group P4/mmm (No. 123)
One atom of each set of equivalent atoms:
1 Na 0.000 0.000 0.000
2 Tl 0.000 0.500 0.102
3 Tl 0.000 0.500 0.301
4 Tl 0.000 0.500 0.500
5 Tl 0.500 0.500 0.000
6 Tl 0.500 0.500 0.202
7 Tl 0.500 0.500 0.401
8 Sb 0.000 0.000 0.190
9 Sb 0.000 0.000 0.398

Values from the calculation:
Uncorrected formation energy, kJ/mol of formula units: -42.8
DFT total energy, eV per cell: -53.75

No. 24
Material: CaAc2Si
Method: DFT, GGA-PBE
State: optimized geometry

a b c (Å): 4.3202 4.3202 31.4501
angles (deg): 90.00 90.00 120.00
Space group R-3m (No. 166, hexagonal axes)
One atom of each set of equivalent atoms:
1 Ca 0.0000 0.0000 0.0000
2 Ac 0.0000 0.0000 0.2244
3 Si 0.0000 0.0000 0.5000

Values from the calculation:
Uncorrected formation energy, kJ/mol of formula units: -59.4
DFT total energy, eV per cell: -48.77
Polymorph energy (0 for the lowest one), meV/atom: 94.2

No. 25
Material: Ba6Pd2Br3O
Method: DFT, GGA-PBE
State: optimized geometry

a b c (Å): 7.720 13.356 8.627
angles (deg): 90.00 107.47 90.00
Space group C2/m (No. 12)
One atom of each set of equivalent atoms:
1 Ba 0.220 0.152 0.203
2 Ba 0.236 0.000 0.796
3 Pd 0.000 0.334 0.000
4 Br 0.000 0.171 0.500
5 Br 0.000 0.500 0.500
6 O 0.000 0.000 0.000

Values from the calculation:
Uncorrected formation energy, kJ/mol of formula units: -1608.2
DFT total energy, eV per cell: -97.13